Entry 1:
# PBE-GGA Co2Ir3, optimized geometry
# - DOS(E_F) (states/eV/cell) = 29.91
# - energy relative to the lowest polymorph listed for this composition (meV/atom) = 180.5
# - DFT total energy (eV per atom) = -7.91
# - total magnetic moment (μB per cell) = 10.44
# - ΔE_f (eV per atom) = 0.2453
data_Co2Ir3
_symmetry_space_group_name_H-M 'C 1 2 1'
_symmetry_Int_Tables_number 5
_symmetry_space_group_name_Hall 'C 2y'
_cell_length_a 7.146
_cell_length_b 9.647
_cell_length_c 4.447
_cell_angle_alpha 90.00
_cell_angle_beta 115.78
_cell_angle_gamma 90.00
loop_
_atom_site_label
_atom_site_type_symbol
_atom_site_fract_x
_atom_site_fract_y
_atom_site_fract_z
Co1 Co 0.142 0.000 0.414
Co2 Co 0.162 0.858 0.947
Ir1 Ir 0.000 0.226 0.000
Ir2 Ir 0.000 0.379 0.500
Ir3 Ir 0.167 0.732 0.441
Ir4 Ir 0.169 0.584 0.945

---

Entry 2:
# PBE-GGA In2RhPb, optimized geometry
# - DOS(E_F) (states/eV/cell) = 5.37
# - DFT total energy (eV per atom) = -3.96
# - total magnetic moment (μB per cell) = 0.00
# - ΔE_f (eV per atom) = 0.1753
data_In2RhPb
_symmetry_space_group_name_H-M 'C m m m'
_symmetry_Int_Tables_number 65
_symmetry_space_group_name_Hall '-C 2 2'
_cell_length_a 5.895
_cell_length_b 8.692
_cell_length_c 3.483
_cell_angle_alpha 90.00
_cell_angle_beta 90.00
_cell_angle_gamma 90.00
loop_
_atom_site_label
_atom_site_type_symbol
_atom_site_fract_x
_atom_site_fract_y
_atom_site_fract_z
In1 In 0.250 0.250 0.000
Rh1 Rh 0.000 0.000 0.500
Pb1 Pb 0.000 0.500 0.500

---

Entry 3:
# PBE-GGA Th2B3Os2, optimized geometry
# - DOS(E_F) (states/eV/cell) = 9.82
# - DFT total energy (eV per atom) = -8.30
# - total magnetic moment (μB per cell) = 0.00
# - ΔE_f (eV per atom) = -0.1070
data_Th2B3Os2
_symmetry_space_group_name_H-M 'C 1 2/m 1'
_symmetry_Int_Tables_number 12
_symmetry_space_group_name_Hall '-C 2y'
_cell_length_a 10.809
_cell_length_b 4.028
_cell_length_c 5.740
_cell_angle_alpha 90.00
_cell_angle_beta 114.50
_cell_angle_gamma 90.00
loop_
_atom_site_label
_atom_site_type_symbol
_atom_site_fract_x
_atom_site_fract_y
_atom_site_fract_z
Th1 Th 0.111 0.000 0.294
B1 B 0.000 0.500 0.500
B2 B 0.102 0.500 0.819
Os1 Os 0.189 0.000 0.837

---

Entry 4:
# PBE-GGA LaTl3Sb, optimized geometry
# - DOS(E_F) (states/eV/cell) = 3.61
# - energy relative to the lowest polymorph listed for this composition (meV/atom) = 309.2
# - DFT total energy (eV per atom) = -2.58
# - total magnetic moment (μB per cell) = 0.00
data_LaTl3Sb
_symmetry_space_group_name_H-M 'P m -3 m'
_symmetry_Int_Tables_number 221
_symmetry_space_group_name_Hall '-P 4 2 3'
_cell_length_a 6.080
_cell_length_b 6.080
_cell_length_c 6.080
_cell_angle_alpha 90.00
_cell_angle_beta 90.00
_cell_angle_gamma 90.00
loop_
_atom_site_label
_atom_site_type_symbol
_atom_site_fract_x
_atom_site_fract_y
_atom_site_fract_z
La1 La 0.000 0.000 0.000
Tl1 Tl 0.000 0.000 0.500
Sb1 Sb 0.500 0.500 0.500

---

Entry 5:
# PBE-GGA ZrTcRh2, optimized geometry
# - DOS(E_F) (states/eV/cell) = 21.83
# - energy relative to the lowest polymorph listed for this composition (meV/atom) = 244.2
# - DFT total energy (eV per atom) = -8.56
# - total magnetic moment (μB per cell) = 0.00
# - ΔE_f (eV per atom) = -0.1607
data_ZrTcRh2
_symmetry_space_group_name_H-M 'F -4 3 m'
_symmetry_Int_Tables_number 216
_symmetry_space_group_name_Hall 'F -4 2 3'
_cell_length_a 6.358
_cell_length_b 6.358
_cell_length_c 6.358
_cell_angle_alpha 90.00
_cell_angle_beta 90.00
_cell_angle_gamma 90.00
loop_
_atom_site_label
_atom_site_type_symbol
_atom_site_fract_x
_atom_site_fract_y
_atom_site_fract_z
Zr1 Zr 0.000 0.000 0.000
Tc1 Tc 0.250 0.250 0.750
Rh1 Rh 0.000 0.000 0.500
Rh2 Rh 0.250 0.250 0.250